# 1
This record from Alexandria via LeMat-Bulk describes a PBEsol-optimized structure of Al2CrBr. The functional is SCAN. Values from VASP.

Geometry as Quantum ESPRESSO input:
```
&SYSTEM
  ibrav = 0, nat = 8, ntyp = 3
/
ATOMIC_SPECIES
Al 26.98 Al.upf
Cr 52.00 Cr.upf
Br 79.90 Br.upf
CELL_PARAMETERS angstrom
-3.839 3.839 2.714
3.839 -3.839 2.714
3.839 3.839 -2.714
ATOMIC_POSITIONS crystal
Al 0.104 0.625 0.979
Al 0.375 0.354 0.479
Al 0.646 0.125 0.021
Al 0.875 0.896 0.521
Cr 0.000 0.000 0.000
Cr 0.750 0.250 0.500
Br 0.250 0.750 0.500
Br 0.500 0.500 0.000
```

Summary:
* E_form (uncorrected): 0.418 eV/atom
* excess energy over the best structure of this formula in the dataset: 17.77 kJ/mol of atoms

=====

# 2
This record from Alexandria via LeMat-Bulk describes a PBEsol-optimized structure of Al2CrBr. The functional is SCAN. Values from VASP.

Geometry as Quantum ESPRESSO input:
```
&SYSTEM
  ibrav = 0, nat = 4, ntyp = 3
/
ATOMIC_SPECIES
Al 26.98 Al.upf
Cr 52.00 Cr.upf
Br 79.90 Br.upf
CELL_PARAMETERS angstrom
3.175 0.000 0.000
0.000 5.417 0.000
-0.007 0.000 4.368
ATOMIC_POSITIONS crystal
Al 0.244 0.000 0.242
Al 0.756 0.000 0.758
Cr 0.000 0.500 0.000
Br 0.500 0.500 0.500
```

Summary:
* E_form (uncorrected): 0.234 eV/atom
* excess energy over the best structure of this formula in the dataset: 0.00 kJ/mol of atoms

=====

# 3
This record from Alexandria via LeMat-Bulk describes a PBEsol-optimized structure of AlCrBr. The functional is SCAN. Values from VASP.

Geometry as Quantum ESPRESSO input:
```
&SYSTEM
  ibrav = 0, nat = 3, ntyp = 3
/
ATOMIC_SPECIES
Al 26.98 Al.upf
Cr 52.00 Cr.upf
Br 79.90 Br.upf
CELL_PARAMETERS angstrom
-1.588 1.588 5.565
1.588 -1.588 5.565
1.588 1.588 -5.565
ATOMIC_POSITIONS crystal
Al 0.000 0.000 0.000
Cr 0.377 0.377 0.000
Br 0.723 0.723 0.000
```

Summary:
* E_form (uncorrected): 0.103 eV/atom
* excess energy over the best structure of this formula in the dataset: 0.00 kJ/mol of atoms

=====

# 4
This record from Alexandria via LeMat-Bulk describes a PBEsol-optimized structure of AlCrBr4. The functional is SCAN. Values from VASP.

Geometry as Quantum ESPRESSO input:
```
&SYSTEM
  ibrav = 0, nat = 6, ntyp = 3
/
ATOMIC_SPECIES
Al 26.98 Al.upf
Cr 52.00 Cr.upf
Br 79.90 Br.upf
CELL_PARAMETERS angstrom
0.000 4.366 4.366
4.366 0.000 4.366
4.366 4.366 0.000
ATOMIC_POSITIONS crystal
Al 0.000 0.000 0.000
Cr 0.750 0.750 0.750
Br 0.375 0.375 0.375
Br 0.375 0.375 0.874
Br 0.375 0.874 0.375
Br 0.874 0.375 0.375
```

Summary:
* E_form (uncorrected): 0.628 eV/atom

=====

# 5
This record from Alexandria via LeMat-Bulk describes a PBEsol-optimized structure of Al2CrBr. The functional is SCAN. Values from VASP.

Geometry as Quantum ESPRESSO input:
```
&SYSTEM
  ibrav = 0, nat = 4, ntyp = 3
/
ATOMIC_SPECIES
Al 26.98 Al.upf
Cr 52.00 Cr.upf
Br 79.90 Br.upf
CELL_PARAMETERS angstrom
0.000 3.414 3.414
3.414 0.000 3.414
3.414 3.414 0.000
ATOMIC_POSITIONS crystal
Al 0.250 0.250 0.250
Al 0.750 0.750 0.750
Cr 0.000 0.000 0.000
Br 0.500 0.500 0.500
```

Summary:
* E_form (uncorrected): 0.665 eV/atom
* excess energy over the best structure of this formula in the dataset: 41.66 kJ/mol of atoms

=====

# 6
This record from Alexandria via LeMat-Bulk describes a PBEsol-optimized structure of AlCrBr2. The functional is SCAN. Values from VASP.

Geometry as Quantum ESPRESSO input:
```
&SYSTEM
  ibrav = 0, nat = 4, ntyp = 3
/
ATOMIC_SPECIES
Al 26.98 Al.upf
Cr 52.00 Cr.upf
Br 79.90 Br.upf
CELL_PARAMETERS angstrom
7.165 -1.654 0.000
7.165 1.654 0.000
-1.179 0.000 3.945
ATOMIC_POSITIONS crystal
Al 0.000 0.000 0.000
Cr 0.500 0.500 0.500
Br 0.145 0.145 0.644
Br 0.855 0.855 0.356
```

Summary:
* E_form (uncorrected): -0.209 eV/atom

=====

# 7
This record from Alexandria via LeMat-Bulk describes a PBEsol-optimized structure of CsAlBr4. The functional is SCAN. Values from VASP.

Geometry as Quantum ESPRESSO input:
```
&SYSTEM
  ibrav = 0, nat = 24, ntyp = 3
/
ATOMIC_SPECIES
Cs 132.91 Cs.upf
Al 26.98 Al.upf
Br 79.90 Br.upf
CELL_PARAMETERS angstrom
12.191 0.000 0.000
0.000 7.384 0.000
0.000 0.000 9.920
ATOMIC_POSITIONS crystal
Cs 0.181 0.250 0.161
Cs 0.319 0.750 0.661
Cs 0.681 0.250 0.339
Cs 0.819 0.750 0.839
Al 0.066 0.250 0.699
Al 0.434 0.750 0.199
Al 0.566 0.250 0.801
Al 0.934 0.750 0.301
Br 0.088 0.503 0.836
Br 0.088 0.997 0.836
Br 0.108 0.750 0.391
Br 0.203 0.250 0.539
Br 0.297 0.750 0.039
Br 0.392 0.250 0.891
Br 0.412 0.003 0.336
Br 0.412 0.497 0.336
Br 0.588 0.503 0.664
Br 0.588 0.997 0.664
Br 0.608 0.750 0.109
Br 0.703 0.250 0.961
Br 0.797 0.750 0.461
Br 0.892 0.250 0.609
Br 0.912 0.003 0.164
Br 0.912 0.497 0.164
```

Summary:
* E_form (uncorrected): -1.600 eV/atom

=====

# 8
This record from Alexandria via LeMat-Bulk describes a PBEsol-optimized structure of Cs2RbAlBr6. The functional is SCAN. Values from VASP.

Geometry as Quantum ESPRESSO input:
```
&SYSTEM
  ibrav = 0, nat = 10, ntyp = 4
/
ATOMIC_SPECIES
Cs 132.91 Cs.upf
Rb 85.47 Rb.upf
Al 26.98 Al.upf
Br 79.90 Br.upf
CELL_PARAMETERS angstrom
0.000 5.666 5.666
5.666 0.000 5.666
5.666 5.666 0.000
ATOMIC_POSITIONS crystal
Cs 0.250 0.250 0.250
Cs 0.750 0.750 0.750
Rb 0.000 0.000 0.000
Al 0.500 0.500 0.500
Br 0.280 0.280 0.720
Br 0.280 0.720 0.280
Br 0.280 0.720 0.720
Br 0.720 0.280 0.280
Br 0.720 0.280 0.720
Br 0.720 0.720 0.280
```

Summary:
* E_form (uncorrected): -1.700 eV/atom

=====

# 9
This record from Alexandria via LeMat-Bulk describes a PBEsol-optimized structure of CsScAl2Br. The functional is SCAN. Values from VASP.

Geometry as Quantum ESPRESSO input:
```
&SYSTEM
  ibrav = 0, nat = 5, ntyp = 4
/
ATOMIC_SPECIES
Cs 132.91 Cs.upf
Sc 44.96 Sc.upf
Al 26.98 Al.upf
Br 79.90 Br.upf
CELL_PARAMETERS angstrom
5.334 0.000 0.000
0.000 5.334 0.000
0.000 0.000 6.006
ATOMIC_POSITIONS crystal
Cs 0.000 0.000 0.000
Sc 0.500 0.500 0.000
Al 0.000 0.500 0.500
Al 0.500 0.000 0.500
Br 0.000 0.000 0.500
```

Summary:
* E_form (uncorrected): 0.761 eV/atom

=====

# 10
This record from Alexandria via LeMat-Bulk describes a PBEsol-optimized structure of AlCu3Br. The functional is SCAN. Values from VASP.

Geometry as Quantum ESPRESSO input:
```
&SYSTEM
  ibrav = 0, nat = 5, ntyp = 3
/
ATOMIC_SPECIES
Al 26.98 Al.upf
Cu 63.55 Cu.upf
Br 79.90 Br.upf
CELL_PARAMETERS angstrom
4.576 0.000 0.000
0.000 4.576 0.000
0.000 0.000 4.576
ATOMIC_POSITIONS crystal
Al 0.000 0.000 0.000
Cu 0.000 0.000 0.500
Cu 0.000 0.500 0.000
Cu 0.500 0.000 0.000
Br 0.500 0.500 0.500
```

Summary:
* E_form (uncorrected): 0.779 eV/atom

=====

# 11
This record from Alexandria via LeMat-Bulk describes a PBEsol-optimized structure of Al2CuBr. The functional is SCAN. Values from VASP.

Geometry as Quantum ESPRESSO input:
```
&SYSTEM
  ibrav = 0, nat = 4, ntyp = 3
/
ATOMIC_SPECIES
Al 26.98 Al.upf
Cu 63.55 Cu.upf
Br 79.90 Br.upf
CELL_PARAMETERS angstrom
0.000 3.357 3.357
3.357 0.000 3.357
3.357 3.357 0.000
ATOMIC_POSITIONS crystal
Al 0.250 0.250 0.250
Al 0.750 0.750 0.750
Cu 0.000 0.000 0.000
Br 0.500 0.500 0.500
```

Summary:
* E_form (uncorrected): 0.565 eV/atom
* excess energy over the best structure of this formula in the dataset: 20.48 kJ/mol of atoms

=====

# 12
This record from Alexandria via LeMat-Bulk describes a PBEsol-optimized structure of Al2CuBr. The functional is SCAN. Values from VASP.

Geometry as Quantum ESPRESSO input:
```
&SYSTEM
  ibrav = 0, nat = 4, ntyp = 3
/
ATOMIC_SPECIES
Al 26.98 Al.upf
Cu 63.55 Cu.upf
Br 79.90 Br.upf
CELL_PARAMETERS angstrom
4.889 0.000 0.000
0.000 4.889 0.000
0.000 0.000 2.974
ATOMIC_POSITIONS crystal
Al 0.000 0.500 0.000
Al 0.500 0.000 0.000
Cu 0.000 0.000 0.500
Br 0.500 0.500 0.500
```

Summary:
* E_form (uncorrected): 0.353 eV/atom
* excess energy over the best structure of this formula in the dataset: 0.00 kJ/mol of atoms

=====

Which value of E_form (uncorrected) does entry 5 give?
0.665 eV/atom

=====

The highest E_form (uncorrected) belongs to which entry?
AlCu3Br